Entry 1:
Here is crystalline Li24Mn11CrO36 at its relaxed geometry from the Alexandria database. Energies are from PBE with a Hubbard U.

Geometry as POSCAR:
```
Li24Mn11CrO36
1.0
-4.179 1.209 12.494
5.644 -5.604 -10.572
8.902 2.476 3.060
Li O Mn Cr
24 36 11 1
Direct
0.723 0.782 0.250
0.168 0.334 0.249
0.779 0.719 0.750
0.498 0.999 0.248
0.083 0.917 0.500
0.583 0.417 0.000
0.116 0.390 0.751
0.666 0.832 0.751
0.388 0.113 0.250
0.887 0.612 0.750
0.060 0.453 0.247
0.917 0.083 0.000
0.218 0.277 0.750
0.001 0.502 0.752
0.250 0.750 0.000
0.547 0.940 0.753
0.749 0.251 0.500
0.281 0.221 0.250
0.833 0.667 0.250
0.417 0.583 0.500
0.446 0.054 0.751
0.946 0.554 0.249
0.333 0.167 0.750
0.610 0.884 0.249
0.000 0.715 0.388
0.167 0.548 0.888
0.881 0.834 0.388
0.221 0.507 0.387
0.493 0.779 0.613
0.815 0.982 0.386
0.018 0.185 0.614
0.143 0.643 0.386
0.953 0.332 0.612
0.645 0.145 0.886
0.548 0.167 0.388
0.357 0.857 0.614
0.478 0.311 0.386
0.119 0.166 0.112
0.668 0.047 0.388
0.048 0.667 0.888
0.618 0.666 0.612
0.855 0.355 0.114
0.978 0.811 0.886
0.785 0.500 0.112
0.522 0.689 0.114
0.833 0.452 0.612
0.334 0.382 0.388
0.381 0.334 0.888
0.666 0.619 0.112
0.689 0.522 0.614
0.285 0.000 0.612
0.311 0.478 0.886
0.166 0.119 0.612
0.715 0.000 0.888
0.834 0.881 0.888
0.333 0.952 0.112
0.189 0.022 0.114
0.452 0.833 0.112
0.000 0.285 0.112
0.500 0.215 0.888
0.028 0.972 0.000
0.973 0.027 0.500
0.361 0.639 0.000
0.139 0.861 0.000
0.528 0.472 0.500
0.639 0.361 0.500
0.694 0.306 0.000
0.194 0.806 0.500
0.306 0.694 0.500
0.806 0.194 0.000
0.472 0.528 0.000
0.860 0.140 0.500
```

Values from the calculation:
As for the calculated volume: 626 Å³/f.u. The value obtained for the magnetization is 0.486 μB/atom.

***

Entry 2:
Here is crystalline Li24Mn11CrO36 at its relaxed geometry from the Alexandria database. Energies are from PBE with a Hubbard U.

Geometry as POSCAR:
```
Li24Mn11CrO36
1.0
8.681 0.000 -0.008
4.363 7.505 -0.008
5.746 3.306 9.595
Li O Cr Mn
24 36 1 11
Direct
0.999 0.334 0.000
0.998 0.335 0.751
0.993 0.005 0.750
0.660 0.673 0.750
0.995 0.007 0.250
0.339 0.997 0.749
0.999 0.335 0.499
0.003 0.661 0.251
0.666 0.001 0.000
0.665 0.001 0.750
0.664 0.676 0.247
0.665 0.002 0.249
0.333 0.668 0.751
0.999 0.335 0.250
0.327 0.340 0.250
0.332 0.668 0.000
0.675 0.327 0.248
0.673 0.325 0.752
0.338 0.996 0.249
0.004 0.662 0.751
0.665 0.001 0.501
0.324 0.336 0.753
0.332 0.667 0.249
0.331 0.669 0.500
0.855 0.832 0.612
0.837 0.171 0.386
0.831 0.523 0.112
0.503 0.474 0.389
0.144 0.836 0.888
0.496 0.832 0.614
0.186 0.166 0.612
0.169 0.504 0.886
0.831 0.523 0.612
0.168 0.145 0.388
0.168 0.504 0.386
0.496 0.831 0.114
0.810 0.502 0.888
0.165 0.855 0.612
0.502 0.837 0.886
0.477 0.169 0.888
0.498 0.190 0.112
0.167 0.145 0.888
0.164 0.856 0.112
0.188 0.166 0.112
0.521 0.499 0.112
0.477 0.169 0.388
0.163 0.498 0.614
0.830 0.165 0.114
0.829 0.163 0.614
0.145 0.835 0.388
0.835 0.170 0.886
0.163 0.498 0.114
0.855 0.833 0.112
0.526 0.497 0.611
0.493 0.189 0.614
0.834 0.814 0.388
0.501 0.479 0.888
0.502 0.837 0.386
0.834 0.812 0.888
0.811 0.507 0.386
0.661 0.339 0.500
0.999 0.668 0.000
0.331 0.332 0.501
0.999 0.668 0.500
0.000 0.000 0.500
0.333 0.334 0.000
0.668 0.669 0.499
0.666 0.667 0.000
0.332 0.001 0.500
0.000 0.000 0.000
0.665 0.335 0.000
0.332 0.001 0.000
```

Values from the calculation:
As for the calculated volume: 626 Å³/f.u. The value obtained for the magnetization is 0.486 μB/atom.

***

Entry 3:
Here is crystalline Li24Mn7Cr5O36 at its relaxed geometry from the Alexandria database. Energies are from PBE with a Hubbard U.

Geometry as POSCAR:
```
Li24Mn7Cr5O36
1.0
-3.798 1.936 2.635
-1.427 -9.111 3.122
10.184 2.862 8.033
O Li Mn Cr
36 24 7 5
Direct
0.738 0.636 0.118
0.331 0.638 0.238
0.672 0.136 0.402
0.143 0.861 0.143
0.003 0.139 0.071
0.150 0.363 0.645
0.336 0.364 0.097
0.332 0.139 0.738
0.266 0.365 0.882
0.517 0.136 0.188
0.930 0.363 0.215
0.809 0.861 0.474
0.850 0.636 0.356
0.666 0.861 0.261
0.004 0.865 0.931
0.335 0.864 0.597
0.931 0.864 0.715
0.737 0.136 0.617
0.598 0.864 0.048
0.670 0.362 0.762
0.519 0.637 0.689
0.403 0.137 0.951
0.597 0.364 0.548
0.072 0.637 0.785
0.401 0.636 0.451
0.811 0.362 0.974
0.476 0.360 0.309
0.003 0.639 0.572
0.071 0.136 0.285
0.676 0.639 0.905
0.193 0.639 0.024
0.479 0.862 0.809
0.264 0.864 0.382
0.851 0.137 0.855
0.193 0.139 0.526
0.996 0.363 0.432
0.380 0.998 0.278
0.055 0.502 0.116
0.376 0.497 0.776
0.953 0.997 0.383
0.001 0.250 0.750
0.286 0.999 0.053
0.713 0.000 0.945
0.618 0.002 0.720
0.157 0.501 0.334
0.055 0.001 0.617
0.503 0.499 0.000
0.661 0.250 0.084
0.331 0.751 0.918
0.292 0.501 0.556
0.162 0.001 0.835
0.710 0.501 0.447
0.959 0.500 0.886
0.998 0.748 0.250
0.334 0.249 0.417
0.503 0.999 0.500
0.618 0.501 0.220
0.833 0.000 0.167
0.834 0.501 0.667
0.662 0.750 0.585
0.449 0.252 0.640
0.445 0.750 0.139
0.222 0.250 0.194
0.223 0.750 0.694
0.894 0.752 0.029
0.552 0.748 0.360
0.554 0.249 0.860
0.768 0.248 0.306
0.103 0.751 0.473
0.772 0.750 0.807
0.901 0.251 0.528
0.104 0.251 0.973
```

Values from the calculation:
As for the calculated volume: 629 Å³/f.u. The value obtained for the magnetization is 0.347 μB/atom.

***

| no. | energy above the lowest structure with this stoichiometry (meV per atom) |
| --- | --- |
| 1 | 671 |
| 2 | 671 |
| 3 | 0 |